(1)
Material: LiCoOs2
Method: DFT, PBEsol
State: relaxed

Unit cell a=4.1314 b=4.1314 c=4.1314 alpha=60.00 beta=60.00 gamma=60.00
Last column: magnetic moment on the atom in μB.
Positions (direct):
1 Li 0.7500 0.7500 0.7500  -0.01
2 Os 0.2500 0.2500 0.2500  0.45
3 Os 0.0000 0.0000 0.0000  -0.10
4 Co 0.5000 0.5000 0.5000  1.50

* offset from the most stable computed form: 0.001 eV/f.u.
* calculated total energy: -8.2808 eV/atom
* spin magnetization: 1.83 Bohr magnetons per cell
* E_form: 0.2531 eV per atom


(2)
Material: Li3CoOs
Method: DFT, PBEsol
State: relaxed

Unit cell a=4.5297 b=4.5297 c=4.5297 alpha=90.00 beta=90.00 gamma=90.00
Last column: magnetic moment on the atom in μB.
Positions (direct):
1 Li 0.5000 0.0000 0.0000  -0.01
2 Li 0.0000 0.0000 0.5000  -0.01
3 Li 0.0000 0.5000 0.0000  -0.01
4 Os 0.0000 0.0000 0.0000  1.08
5 Co 0.5000 0.5000 0.5000  2.18

* calculated total energy: -3.4744 eV/atom
* spin magnetization: 3.22 Bohr magnetons per cell
* E_form: 1.6963 eV per atom


(3)
Material: LiCoOs3
Method: DFT, PBEsol
State: relaxed

Unit cell a=4.3756 b=4.3756 c=4.3756 alpha=90.00 beta=90.00 gamma=90.00
Last column: magnetic moment on the atom in μB.
Positions (direct):
1 Li 0.5000 0.5000 0.5000  0.00
2 Os 0.0000 0.5000 0.0000  0.04
3 Os 0.0000 0.0000 0.5000  0.04
4 Os 0.5000 0.0000 0.0000  0.04
5 Co 0.0000 0.0000 0.0000  0.24

* calculated total energy: -7.4036 eV/atom
* spin magnetization: 0.38 Bohr magnetons per cell
* E_form: 1.8667 eV per atom